Record 1
SrIrAu3: relaxed, PBE.

Calculated values
- Magnetic moment: 0.0 μB/f.u.
- DFT formation energy: 0.862 kcal/mol of atoms
- Energy above the lowest structure with this stoichiometry: 0.000 eV/atom
- Calculated volume: 26.6 Å³/atom
- Space-group type: Pm-3m (221)

Lattice parameters (Å, degrees): 5.1064 5.1064 5.1064 90.00 90.00 90.00
With the nearest neighbours (Å) after each atom.
Positions (direct):
Sr  0.0000  0.0000  0.0000  12 Au 3.61
Ir  0.5000  0.5000  0.5000  6 Au 2.55
Au  0.0000  0.5000  0.5000  2 Ir 2.55
Au  0.5000  0.0000  0.5000  2 Ir 2.55
Au  0.5000  0.5000  0.0000  2 Ir 2.55

Record 2
Th2IrPb: relaxed, PBE.

Calculated values
- Magnetic moment: 0.0 μB/f.u.
- DFT formation energy: -12.490 kcal/mol of atoms
- Energy above the lowest structure with this stoichiometry: 0.065 eV/atom
- Calculated volume: 26.6 Å³/atom
- Space-group type: P4/mmm (123)

Lattice parameters (Å, degrees): 3.5093 3.5093 8.6310 90.00 90.00 90.00
With the nearest neighbours (Å) after each atom.
Positions (direct):
Th  0.0000  0.0000  0.2078  4 Ir 3.06
Th  0.0000  0.0000  0.7922  4 Ir 3.06
Ir  0.5000  0.5000  0.0000  8 Th 3.06
Pb  0.5000  0.5000  0.5000  4 Pb 3.51, 8 Th 3.54